## 1
This record from Alexandria describes crystalline TiAlIO2 at its relaxed geometry. The functional is PBE-GGA.

Calculated values
The value obtained for the magnetization is 0.013 μB per atom. The density of states at the Fermi level is 0.25 states/eV per atom.

Cell: 3.9751 3.9751 5.7350 Å, 90.00 90.00 90.00°
Closest atoms and distances in Å follow each position.
Fractional coordinates of all 5 atoms:
O 0.0000 0.5000 0.0000  2 Ti 1.99
O 0.5000 0.0000 0.0000  2 Ti 1.99
I 0.0000 0.0000 0.5000  4 Al 2.81, 2 Ti 2.87
Al 0.5000 0.5000 0.5000  4 I 2.81
Ti 0.0000 0.0000 0.0000  4 O 1.99

---

## 2
This record from Alexandria describes crystalline TiAlIO2 at its relaxed geometry. The functional is PBE-GGA.

Calculated values
The value obtained for the magnetization is 0.361 μB per atom. The density of states at the Fermi level is 1.15 states/eV per atom.

Cell: 3.7869 3.7869 5.7067 Å, 90.00 90.00 90.00°
Closest atoms and distances in Å follow each position.
Fractional coordinates of all 5 atoms:
Ti 0.5000 0.5000 0.5000  4 I 2.68
Al 0.0000 0.0000 0.0000  4 O 1.89
O 0.0000 0.5000 0.0000  2 Al 1.89
O 0.5000 0.0000 0.0000  2 Al 1.89
I 0.0000 0.0000 0.5000  4 Ti 2.68, 2 Al 2.85

---

According to the calculations, the structures order from most to least stable as 1, 2.

---

## 1
This record from Alexandria describes crystalline AlTlIO2 at its relaxed geometry. The functional is PBE-GGA.

Calculated values
The value obtained for the magnetization is 0.000 μB per atom. The density of states at the Fermi level is 0.85 states/eV per atom.

Cell: 4.2857 4.2857 6.5378 Å, 90.00 90.00 90.00°
Closest atoms and distances in Å follow each position.
Fractional coordinates of all 5 atoms:
O 0.0000 0.5000 0.0000  2 Tl 2.14
O 0.5000 0.0000 0.0000  2 Tl 2.14
I 0.0000 0.0000 0.5000  4 Al 3.03, 2 Tl 3.27
Tl 0.0000 0.0000 0.0000  4 O 2.14
Al 0.5000 0.5000 0.5000  4 I 3.03

---

## 2
This record from Alexandria describes crystalline AlTlIO2 at its relaxed geometry. The functional is PBE-GGA.

Calculated values
The value obtained for the magnetization is 0.000 μB per atom. The density of states at the Fermi level is 0.41 states/eV per atom.

Cell: 4.0322 4.0322 5.7222 Å, 90.00 90.00 90.00°
Closest atoms and distances in Å follow each position.
Fractional coordinates of all 5 atoms:
O 0.0000 0.5000 0.0000  2 Al 2.02
O 0.5000 0.0000 0.0000  2 Al 2.02
I 0.0000 0.0000 0.5000  4 Tl 2.85, 2 Al 2.86
Tl 0.5000 0.5000 0.5000  4 I 2.85
Al 0.0000 0.0000 0.0000  4 O 2.02

---

According to the calculations, the structures order from most to least stable as 2, 1.